[1]
# La2TbPr, relaxed, DFT PBE
data_La2TbPr
_space_group_name_H-M_alt 'P 1'
_space_group_IT_number 1
_space_group_name_Hall 'P 1'
_cell_length_a 3.7012
_cell_length_b 3.7012
_cell_length_c 12.1542
_cell_angle_alpha 81.24
_cell_angle_beta 81.24
_cell_angle_gamma 60.00
loop_
_atom_site_label
_atom_site_type_symbol
_atom_site_fract_x
_atom_site_fract_y
_atom_site_fract_z
La1 La 0.7483 0.7483 0.7550
La2 La 0.2517 0.2517 0.2450
Tb1 Tb 0.0000 0.0000 0.0000
Pr1 Pr 0.5000 0.5000 0.5000
# * E: -0.1766 hartree per atom
# * D(E_F): 5.84 states/eV per cell

=====

[2]
# CaBrO2, relaxed, DFT PBE
data_CaBrO2
_space_group_name_H-M_alt 'P 1'
_space_group_IT_number 1
_space_group_name_Hall 'P 1'
_cell_length_a 7.7601
_cell_length_b 7.7601
_cell_length_c 5.0522
_cell_angle_alpha 90.00
_cell_angle_beta 90.00
_cell_angle_gamma 152.08
loop_
_atom_site_label
_atom_site_type_symbol
_atom_site_fract_x
_atom_site_fract_y
_atom_site_fract_z
Ca1 Ca 0.3428 0.6572 0.2500
Ca2 Ca 0.6572 0.3428 0.7500
O1 O 0.1986 0.8014 0.2500
O2 O 0.8014 0.1986 0.7500
O3 O 0.9304 0.0696 0.2500
O4 O 0.0696 0.9304 0.7500
Br1 Br 0.0730 0.9270 0.2500
Br2 Br 0.9270 0.0730 0.7500
# * E: -0.1676 hartree per atom
# * formation energy without anion corrections: -1162 meV/atom
# * D(E_F): 2.13 states/eV per cell

=====

[3]
# TiSiMoOs2, relaxed, DFT PBE
data_TiSiMoOs2
_space_group_name_H-M_alt 'P 1'
_space_group_IT_number 1
_space_group_name_Hall 'P 1'
_cell_length_a 4.6900
_cell_length_b 4.5362
_cell_length_c 4.6900
_cell_angle_alpha 90.00
_cell_angle_beta 90.00
_cell_angle_gamma 90.00
loop_
_atom_site_label
_atom_site_type_symbol
_atom_site_fract_x
_atom_site_fract_y
_atom_site_fract_z
Mo1 Mo 0.0000 0.0000 0.0000
Os1 Os 0.0000 0.0000 0.5000
Os2 Os 0.5000 0.0000 0.0000
Si1 Si 0.0000 0.5000 0.0000
Ti1 Ti 0.5000 0.5000 0.5000
# * E: -0.2885 hartree per atom
# * formation energy without anion corrections: 1472 meV/atom
# * D(E_F): 6.74 states/eV per cell

=====

[4]
# BaCeZnO4, relaxed, DFT PBE
data_BaCeZnO4
_space_group_name_H-M_alt 'P 1'
_space_group_IT_number 1
_space_group_name_Hall 'P 1'
_cell_length_a 6.5712
_cell_length_b 7.1397
_cell_length_c 7.1686
_cell_angle_alpha 120.13
_cell_angle_beta 90.00
_cell_angle_gamma 117.40
loop_
_atom_site_label
_atom_site_type_symbol
_atom_site_fract_x
_atom_site_fract_y
_atom_site_fract_z
Ba1 Ba 0.8392 0.6784 0.0892
Ba2 Ba 0.1608 0.3216 0.9108
Ce1 Ce 0.5000 0.0000 0.5000
Ce2 Ce 0.5000 0.0000 0.0000
Zn1 Zn 0.5000 0.5000 0.5000
Zn2 Zn 0.0000 0.5000 0.5000
O1 O 0.7176 0.4352 0.6559
O2 O 0.2807 0.9747 0.2374
O3 O 0.6940 0.9747 0.2374
O4 O 0.7176 0.4352 0.2793
O5 O 0.2824 0.5648 0.7207
O6 O 0.7193 0.0253 0.7626
O7 O 0.3060 0.0253 0.7626
O8 O 0.2824 0.5648 0.3441
# * E: -0.2426 hartree per atom
# * formation energy without anion corrections: -2464 meV/atom
# * D(E_F): 0.00 states/eV per cell